i | Material: GaCN2F
Method: DFT, GGA-PBE
State: optimized geometry

POSCAR file:
```
GaCN2F
1.0
3.105 0.000 0.000
0.000 3.105 0.000
0.000 0.000 5.786
Ga C N F
1 1 2 1
Direct
0.000 0.000 0.000
0.500 0.500 0.500
0.000 0.500 0.500
0.500 0.000 0.500
0.500 0.500 0.000
```


ii | Material: GaCN2F
Method: DFT, GGA-PBE
State: optimized geometry

POSCAR file:
```
GaCN2F
1.0
3.969 0.000 0.000
0.000 3.969 0.000
0.000 0.000 4.154
Ga C N F
1 1 2 1
Direct
0.000 0.000 0.000
0.000 0.000 0.500
0.000 0.500 0.000
0.500 0.000 0.000
0.500 0.500 0.500
```


Preferred: i; penalty for the next structure: 979 meV per atom.


i | Material: GeCF3
Method: DFT, GGA-PBE
State: optimized geometry

POSCAR file:
```
GeCF3
1.0
3.959 0.000 0.000
0.000 3.959 0.000
0.000 0.000 3.959
Ge C F
1 1 3
Direct
0.000 0.000 0.000
0.500 0.500 0.500
0.000 0.500 0.500
0.500 0.000 0.500
0.500 0.500 0.000
```


ii | Material: GeCF3
Method: DFT, GGA-PBE
State: optimized geometry

POSCAR file:
```
GeCF3
1.0
4.119 0.000 0.000
0.000 4.119 0.000
0.000 0.000 4.119
Ge C F
1 1 3
Direct
0.000 0.000 0.000
0.500 0.500 0.500
0.000 0.000 0.500
0.000 0.500 0.000
0.500 0.000 0.000
```


Preferred: ii; penalty for the next structure: 184 meV per atom.


i | Material: GeC2F
Method: DFT, GGA-PBE
State: optimized geometry

POSCAR file:
```
GeC2F
1.0
5.396 0.000 0.000
0.000 5.396 0.000
0.000 0.000 5.396
Ge C F
4 8 4
Direct
0.000 0.000 0.000
0.000 0.500 0.500
0.500 0.000 0.500
0.500 0.500 0.000
0.250 0.250 0.250
0.250 0.250 0.750
0.250 0.750 0.250
0.250 0.750 0.750
0.750 0.250 0.250
0.750 0.250 0.750
0.750 0.750 0.250
0.750 0.750 0.750
0.000 0.000 0.500
0.000 0.500 0.000
0.500 0.000 0.000
0.500 0.500 0.500
```


ii | Material: GeC2F
Method: DFT, GGA-PBE
State: optimized geometry

POSCAR file:
```
GeC2F
1.0
4.492 0.000 0.000
0.000 4.492 0.000
0.000 0.000 10.330
Ge C F
4 8 4
Direct
0.000 0.000 0.000
0.000 0.500 0.250
0.500 0.000 0.750
0.500 0.500 0.500
0.201 0.250 0.125
0.250 0.701 0.375
0.250 0.799 0.875
0.299 0.250 0.625
0.701 0.750 0.625
0.750 0.201 0.875
0.750 0.299 0.375
0.799 0.750 0.125
0.000 0.000 0.500
0.000 0.500 0.750
0.500 0.000 0.250
0.500 0.500 0.000
```


Preferred: ii; penalty for the next structure: 219 meV per atom.


i | Material: GeCF2
Method: DFT, GGA-PBE
State: optimized geometry

POSCAR file:
```
GeCF2
1.0
2.721 0.000 0.000
-1.360 2.356 0.000
0.000 0.000 22.540
Ge C F
3 3 6
Direct
0.000 0.000 0.000
0.333 0.667 0.667
0.667 0.333 0.333
0.000 0.000 0.500
0.333 0.667 0.167
0.667 0.333 0.833
0.000 0.000 0.085
0.000 0.000 0.915
0.333 0.667 0.582
0.333 0.667 0.752
0.667 0.333 0.248
0.667 0.333 0.418
```


ii | Material: GeCF2
Method: DFT, GGA-PBE
State: optimized geometry

POSCAR file:
```
GeCF2
1.0
5.245 0.000 0.000
0.000 5.245 0.000
0.000 0.000 9.374
Ge C F
4 4 8
Direct
0.000 0.000 0.000
0.000 0.500 0.250
0.500 0.000 0.750
0.500 0.500 0.500
0.000 0.000 0.500
0.000 0.500 0.750
0.500 0.000 0.250
0.500 0.500 0.000
0.095 0.250 0.625
0.250 0.595 0.875
0.250 0.905 0.375
0.405 0.250 0.125
0.595 0.750 0.125
0.750 0.095 0.375
0.750 0.405 0.875
0.905 0.750 0.625
```


iii | Material: GeCF2
Method: DFT, GGA-PBE
State: optimized geometry

POSCAR file:
```
GeCF2
1.0
5.798 0.000 0.000
0.000 5.798 0.000
0.000 0.000 5.798
Ge C F
4 4 8
Direct
0.000 0.000 0.000
0.000 0.500 0.500
0.500 0.000 0.500
0.500 0.500 0.000
0.000 0.000 0.500
0.000 0.500 0.000
0.500 0.000 0.000
0.500 0.500 0.500
0.250 0.250 0.250
0.250 0.250 0.750
0.250 0.750 0.250
0.250 0.750 0.750
0.750 0.250 0.250
0.750 0.250 0.750
0.750 0.750 0.250
0.750 0.750 0.750
```


Preferred: i; penalty for the next structure: 49 meV per atom.


i | Material: GeCN2F
Method: DFT, GGA-PBE
State: optimized geometry

POSCAR file:
```
GeCN2F
1.0
3.187 0.000 0.000
0.000 3.187 0.000
0.000 0.000 4.898
Ge C N F
1 1 2 1
Direct
0.000 0.000 0.000
0.500 0.500 0.500
0.000 0.500 0.500
0.500 0.000 0.500
0.500 0.500 0.000
```


ii | Material: GeCN2F
Method: DFT, GGA-PBE
State: optimized geometry

POSCAR file:
```
GeCN2F
1.0
3.815 0.000 0.000
0.000 3.815 0.000
0.000 0.000 3.737
Ge C N F
1 1 2 1
Direct
0.000 0.000 0.000
0.500 0.500 0.500
0.000 0.500 0.000
0.500 0.000 0.000
0.000 0.000 0.500
```


Preferred: i; penalty for the next structure: 409 meV per atom.


i | Material: GeCOF2
Method: DFT, GGA-PBE
State: optimized geometry

POSCAR file:
```
GeCOF2
1.0
4.484 0.000 0.000
0.000 4.484 0.000
0.000 0.000 2.882
Ge C O F
1 1 1 2
Direct
0.000 0.000 0.000
0.500 0.500 0.500
0.500 0.500 0.000
0.000 0.500 0.500
0.500 0.000 0.500
```


ii | Material: GeCOF2
Method: DFT, GGA-PBE
State: optimized geometry

POSCAR file:
```
GeCOF2
1.0
3.988 0.000 0.000
0.000 3.988 0.000
0.000 0.000 3.677
Ge C O F
1 1 1 2
Direct
0.000 0.000 0.000
0.500 0.500 0.500
0.000 0.000 0.500
0.000 0.500 0.000
0.500 0.000 0.000
```


Preferred: i; penalty for the next structure: 98 meV per atom.


i | Material: HfCNF2
Method: DFT, GGA-PBE
State: optimized geometry

POSCAR file:
```
HfCNF2
1.0
4.062 0.000 0.000
0.000 4.062 0.000
0.000 0.000 4.258
Hf C N F
1 1 1 2
Direct
0.000 0.000 0.000
0.500 0.500 0.500
0.000 0.000 0.500
0.000 0.500 0.000
0.500 0.000 0.000
```


ii | Material: HfCNF2
Method: DFT, GGA-PBE
State: optimized geometry

POSCAR file:
```
HfCNF2
1.0
4.743 0.000 0.000
0.000 4.743 0.000
0.000 0.000 2.500
Hf C N F
1 1 1 2
Direct
0.000 0.000 0.000
0.500 0.500 0.500
0.500 0.500 0.000
0.000 0.500 0.500
0.500 0.000 0.500
```


Preferred: i; penalty for the next structure: 178 meV per atom.


i | Material: HfCOF2
Method: DFT, GGA-PBE
State: optimized geometry

POSCAR file:
```
HfCOF2
1.0
4.438 0.000 0.000
0.000 4.438 0.000
0.000 0.000 2.976
Hf C O F
1 1 1 2
Direct
0.000 0.000 0.000
0.500 0.500 0.500
0.500 0.500 0.000
0.000 0.500 0.500
0.500 0.000 0.500
```


ii | Material: HfCOF2
Method: DFT, GGA-PBE
State: optimized geometry

POSCAR file:
```
HfCOF2
1.0
4.149 0.000 0.000
0.000 4.149 0.000
0.000 0.000 4.032
Hf C O F
1 1 1 2
Direct
0.000 0.000 0.000
0.500 0.500 0.500
0.000 0.000 0.500
0.000 0.500 0.000
0.500 0.000 0.000
```


Preferred: ii; penalty for the next structure: 1288 meV per atom.